No. 1
{
  "formula": "RbPdN2",
  "functional": "PBE",
  "state": "relaxed",
  "lattice_angstrom": [[1.689, 0.975, 6.814], [-1.689, 0.975, 6.814], [0.000, -1.950, 6.814]],
  "species": ["Rb", "Pd", "N", "N"],
  "frac_coords": [[0.000, 0.000, 0.000], [0.500, 0.500, 0.500], [0.126, 0.126, 0.126], [0.874, 0.874, 0.874]],
  "vol_a3_per_atom": 16.83,
  "e_above_lowest_polymorph_mev_per_atom": 1050.5,
  "total_energy_ha_per_atom": -0.1681
}

***

No. 2
{
  "formula": "La6SmHg2",
  "functional": "PBE",
  "state": "relaxed",
  "lattice_angstrom": [[8.159, -5.878, 0.000], [8.159, 5.878, 0.000], [-0.938, 0.000, 6.033]],
  "species": ["La", "La", "La", "La", "La", "La", "La", "La", "La", "La", "La", "La", "Sm", "Sm", "Hg", "Hg", "Hg", "Hg"],
  "frac_coords": [[0.060, 0.825, 0.971], [0.137, 0.385, 0.157], [0.175, 0.940, 0.529], [0.265, 0.502, 0.692], [0.385, 0.137, 0.657], [0.498, 0.735, 0.808], [0.502, 0.265, 0.192], [0.615, 0.863, 0.343], [0.735, 0.498, 0.308], [0.825, 0.060, 0.471], [0.863, 0.615, 0.843], [0.940, 0.175, 0.029], [0.361, 0.639, 0.250], [0.639, 0.361, 0.750], [0.019, 0.293, 0.596], [0.293, 0.019, 0.096], [0.707, 0.981, 0.904], [0.981, 0.707, 0.404]],
  "vol_a3_per_atom": 32.15,
  "formation_enthalpy_0k_ev_per_atom": -0.16,
  "e_above_lowest_polymorph_mev_per_atom": 58.6,
  "total_energy_ha_per_atom": -0.1484
}